[1]
Compound: NiPtSeBr2
Source: Alexandria via LeMat-Bulk
Functional: PBEsol
Structure: optimized geometry

POSCAR file:
```
NiPtSeBr2
1.0
5.0322 0.0000 0.0000
0.0000 5.0322 0.0000
0.0000 0.0000 4.8880
Ni Pt Se Br
1 1 1 2
Direct
0.0000 0.0000 0.0000
0.5000 0.5000 0.5000
0.5000 0.5000 0.0000
0.0000 0.5000 0.5000
0.5000 0.0000 0.5000
```

SG: P4/mmm
Raw formation energy (meV per atom): 765

=====

[2]
Compound: LaMgSc2
Source: Alexandria via LeMat-Bulk
Functional: PBEsol
Structure: optimized geometry

POSCAR file:
```
LaMgSc2
1.0
3.5426 0.0000 0.0000
0.0000 3.5426 0.0000
0.0000 0.0000 8.1490
La Mg Sc
1 1 2
Direct
0.0000 0.0000 0.0000
0.0000 0.0000 0.5000
0.5000 0.5000 0.2799
0.5000 0.5000 0.7201
```

Formation energy (kcal/mol of atoms): 0.62
SG: P4/mmm

=====

[3]
Compound: Li2MnBPO7
Source: Alexandria via LeMat-Bulk
Functional: PBEsol
Structure: optimized geometry

POSCAR file:
```
Li2MnBPO7
1.0
5.0196 0.0000 0.0000
0.0000 6.1272 0.0000
-0.6443 0.0000 8.5077
Li Mn B P O
4 2 2 2 14
Direct
0.2345 0.0163 0.3006
0.2345 0.4837 0.3006
0.7655 0.5163 0.6994
0.7655 0.9837 0.6994
0.2114 0.7500 0.8321
0.7886 0.2500 0.1679
0.2648 0.7500 0.5598
0.7352 0.2500 0.4402
0.2727 0.2500 0.9296
0.7273 0.7500 0.0704
0.0218 0.7500 0.6339
0.1348 0.2500 0.0846
0.1866 0.0546 0.8243
0.1866 0.4454 0.8243
0.2962 0.7500 0.4083
0.4216 0.7500 0.0282
0.4690 0.7500 0.6853
0.5310 0.2500 0.3147
0.5784 0.2500 0.9718
0.7038 0.2500 0.5917
0.8134 0.5546 0.1757
0.8134 0.9454 0.1757
0.8652 0.7500 0.9154
0.9782 0.2500 0.3661
```

SG: P2_1/m
Raw formation energy (meV per atom): -2121

=====

[4]
Compound: Co2Mo
Source: Alexandria via LeMat-Bulk
Functional: PBEsol
Structure: optimized geometry

POSCAR file:
```
Co2Mo
1.0
0.0000 3.2624 3.2624
3.2624 0.0000 3.2624
3.2624 3.2624 0.0000
Co Mo
4 2
Direct
0.0000 0.0000 0.0000
0.0000 0.0000 0.5000
0.0000 0.5000 0.0000
0.5000 0.0000 0.0000
0.3750 0.3750 0.3750
0.6250 0.6250 0.6250
```

Formation energy (kcal/mol of atoms): -0.07
SG: Fd-3m

=====

[5]
Compound: Te2PbAuN
Source: Alexandria via LeMat-Bulk
Functional: PBEsol
Structure: optimized geometry

POSCAR file:
```
Te2PbAuN
1.0
5.6602 0.0000 0.0000
0.0000 5.6602 0.0000
0.0000 0.0000 3.8740
Te Pb Au N
2 1 1 1
Direct
0.0000 0.5000 0.0000
0.5000 0.0000 0.0000
0.0000 0.0000 0.5000
0.5000 0.5000 0.0000
0.5000 0.5000 0.5000
```

SG: P4/mmm
Raw formation energy (meV per atom): 632

=====

[6]
Compound: VCr2Te4
Source: Alexandria via LeMat-Bulk
Functional: PBEsol
Structure: optimized geometry

POSCAR file:
```
VCr2Te4
1.0
6.7514 -1.9233 0.0000
6.7514 1.9233 0.0000
-3.2576 0.0000 5.9168
V Cr Te
1 2 4
Direct
0.0000 0.0000 0.0000
0.4973 0.4973 0.4348
0.7529 0.7529 0.7215
0.1179 0.1179 0.7508
0.3837 0.3837 0.6849
0.6381 0.6381 0.2677
0.8604 0.8604 0.1710
```

SG: Cm
Raw formation energy (meV per atom): -152

=====

[7]
Compound: Na2H6PtO6
Source: Alexandria via LeMat-Bulk
Functional: PBEsol
Structure: optimized geometry

POSCAR file:
```
Na2H6PtO6
1.0
5.8482 0.0000 0.0000
-2.9241 5.0647 0.0000
0.0000 0.0000 4.3907
Na H Pt O
2 6 1 6
Direct
0.3333 0.6667 0.0473
0.6667 0.3333 0.9527
0.1427 0.3253 0.5740
0.1826 0.8573 0.5740
0.3253 0.1826 0.4260
0.6747 0.8174 0.5740
0.8174 0.1427 0.4260
0.8573 0.6747 0.4260
0.0000 0.0000 0.0000
0.0153 0.2952 0.7435
0.2799 0.9847 0.7435
0.2952 0.2799 0.2565
0.7048 0.7201 0.7435
0.7201 0.0153 0.2565
0.9847 0.7048 0.2565
```

SG: P-3
Raw total energy (eV per cell): -78.1

=====

[8]
Compound: Li2Mn3CuO8
Source: Alexandria via LeMat-Bulk
Functional: PBEsol
Structure: optimized geometry

POSCAR file:
```
Li2Mn3CuO8
1.0
2.8447 1.6424 4.8201
-2.8447 1.6424 4.8201
0.0000 -3.2848 4.8201
Li Mn Cu O
2 3 1 8
Direct
0.1215 0.1215 0.1215
0.8785 0.8785 0.8785
0.0000 0.5000 0.5000
0.5000 0.0000 0.5000
0.5000 0.5000 0.0000
0.5000 0.5000 0.5000
0.2525 0.2525 0.7101
0.2525 0.7101 0.2525
0.2632 0.2632 0.2632
0.2899 0.7475 0.7475
0.7101 0.2525 0.2525
0.7368 0.7368 0.7368
0.7475 0.2899 0.7475
0.7475 0.7475 0.2899
```

SG: R-3m
Raw formation energy (meV per atom): -1639

=====

[9]
Compound: ZnSeSCl2
Source: Alexandria via LeMat-Bulk
Functional: PBEsol
Structure: optimized geometry

POSCAR file:
```
ZnSeSCl2
1.0
4.5170 0.0000 0.0000
0.0000 4.5170 0.0000
0.0000 0.0000 5.0822
Zn Se S Cl
1 1 1 2
Direct
0.0000 0.0000 0.0000
0.5000 0.5000 0.5000
0.0000 0.0000 0.5000
0.0000 0.5000 0.0000
0.5000 0.0000 0.0000
```

SG: P4/mmm
Raw formation energy (meV per atom): 128

=====

[10]
Compound: AgSbW2
Source: Alexandria via LeMat-Bulk
Functional: PBEsol
Structure: optimized geometry

POSCAR file:
```
AgSbW2
1.0
4.6865 -1.6044 0.0000
4.6865 1.6044 0.0000
-1.1674 0.0000 4.6752
Ag Sb W
1 1 2
Direct
0.0000 0.0000 0.0000
0.7661 0.7661 0.2541
0.2406 0.2406 0.7282
0.5260 0.5260 0.5341
```

SG: Cm
Raw formation energy (meV per atom): 650

=====

[11]
Compound: PbAu3
Source: Alexandria via LeMat-Bulk
Functional: PBEsol
Structure: optimized geometry

POSCAR file:
```
PbAu3
1.0
8.9278 0.0000 0.0000
0.0000 6.6870 0.0000
0.0000 0.0000 5.4873
Pb Au
4 12
Direct
0.0464 0.2500 0.1516
0.4536 0.7500 0.6516
0.5464 0.2500 0.3484
0.9536 0.7500 0.8484
0.0627 0.7500 0.3407
0.2050 0.0310 0.6363
0.2050 0.4690 0.6363
0.2950 0.5310 0.1363
0.2950 0.9690 0.1363
0.4373 0.2500 0.8407
0.5627 0.7500 0.1593
0.7050 0.0310 0.8637
0.7050 0.4690 0.8637
0.7950 0.5310 0.3637
0.7950 0.9690 0.3637
0.9373 0.2500 0.6593
```

Formation energy (kcal/mol of atoms): 0.33
SG: Pnma

=====

[12]
Compound: InCuSnSe4
Source: Alexandria via LeMat-Bulk
Functional: PBEsol
Structure: optimized geometry

POSCAR file:
```
InCuSnSe4
1.0
-2.9501 2.9501 5.7409
2.9501 -2.9501 5.7409
2.9501 2.9501 -5.7409
In Cu Sn Se
1 1 1 4
Direct
0.0000 0.0000 0.0000
0.5000 0.5000 0.0000
0.2500 0.7500 0.5000
0.1287 0.1496 0.5315
0.4028 0.8713 0.0209
0.6181 0.5972 0.4685
0.8504 0.3819 0.9791
```

SG: I-4
Raw formation energy (meV per atom): -342

=====

no.,total magnetic moment (Bohr magnetons per cell)
1,1.4
2,0.0
3,5.9
4,2.4
5,1.5
6,7.2
7,0.0
8,9.7
9,0.8
10,0.0
11,0.0
12,0.0